No. 1
{"formula": "CeNdGa", "functional": "PBE", "state": "optimized geometry", "density_g_cm3": 7.1, "dft_energy_ev_per_atom": -4.832, "e_above_lowest_polymorph_mev_per_atom": 135, "magnetic_moment_mub_per_fu": 1.54, "ef_kj_per_mol_atoms": -24.7, "cell": [[-3.701, -0.241, -0.871], [-0.361, -2.972, 2.355], [0.791, 5.152, 3.542]], "species": ["Nd", "Ce", "Ga"], "fractional_positions": [[0.022, 0.022, 0.044], [0.310, 0.310, 0.621], [0.667, 0.667, 0.335]]}

---

No. 2
{"formula": "Gd2BiIr", "functional": "PBE", "state": "optimized geometry", "density_g_cm3": 11.7, "dft_energy_ev_per_atom": -10.945, "e_above_lowest_polymorph_mev_per_atom": 0, "magnetic_moment_mub_per_fu": 14.05, "ef_kj_per_mol_atoms": -69.4, "cell": [[3.526, 0.000, 0.000], [0.000, 3.526, 0.000], [0.000, 0.000, 8.176]], "species": ["Gd", "Gd", "Ir", "Bi"], "fractional_positions": [[0.000, 0.000, 0.796], [0.000, 0.000, 0.204], [0.500, 0.500, 0.000], [0.500, 0.500, 0.500]]}